No. 1
A relaxed CeAgHg crystal, computed with PBE.

Cell lengths 4.9003, 4.9003, 4.9003 Å; angles 60.00, 60.00, 60.00 degrees
Fractional coordinates of all 3 atoms:
Ag 0.2500 0.2500 0.2500
Ce 0.0000 0.0000 0.0000
Hg 0.5000 0.5000 0.5000

Values from the calculation:
Formation energy   -0.086 eV/atom



No. 2
A relaxed LaCdIn crystal, computed with PBE.

Cell lengths 5.2612, 5.2612, 5.2612 Å; angles 60.00, 60.00, 60.00 degrees
Fractional coordinates of all 3 atoms:
In 0.2500 0.2500 0.2500
La 0.5000 0.5000 0.5000
Cd 0.7500 0.7500 0.7500

Values from the calculation:
Formation energy   0.009 eV/atom



No. 3
A relaxed CrPBr crystal, computed with PBE.

Cell lengths 4.3417, 4.3417, 4.3417 Å; angles 60.00, 60.00, 60.00 degrees
Fractional coordinates of all 3 atoms:
Br 0.5000 0.5000 0.5000
Cr 0.2500 0.2500 0.2500
P 0.0000 0.0000 0.0000

Values from the calculation:
Raw formation energy   0.26 eV per atom



No. 4
A relaxed CrCdRu crystal, computed with PBE.

Cell lengths 2.7827, 2.7827, 6.8478 Å; angles 90.00, 90.00, 120.00 degrees
Fractional coordinates of all 3 atoms:
Ru 0.3333 0.6667 0.6346
Cd 0.0000 0.0000 0.0040
Cr 0.6667 0.3333 0.3614

Values from the calculation:
Formation energy   0.303 eV/atom



No. 5
A relaxed Ni4SbH crystal, computed with PBE.

Cell lengths 4.6414, 5.1436, 5.7722 Å; angles 90.00, 84.97, 90.00 degrees
Fractional coordinates of all 12 atoms:
Ni 0.0271 0.4147 0.7871
Ni 0.8456 0.1658 0.4204
Ni 0.4729 0.9147 0.2129
Ni 0.1544 0.8342 0.5796
Ni 0.9729 0.5853 0.2129
Ni 0.3456 0.3342 0.4204
Ni 0.6544 0.6658 0.5796
Ni 0.5271 0.0853 0.7871
Sb 0.5000 0.5000 0.0000
Sb 0.0000 0.0000 0.0000
H 0.5000 0.0000 0.5000
H 0.0000 0.5000 0.5000

Values from the calculation:
E_tot   -5.06 eV per atom



No. 6
A relaxed Dy3TlS6 crystal, computed with PBE.

Cell lengths 6.6541, 8.5933, 8.5933 Å; angles 102.83, 90.00, 90.00 degrees
Fractional coordinates of all 20 atoms:
Dy 0.4831 0.9108 0.7151
Dy 0.9831 0.7151 0.9108
Dy 0.3928 0.4060 0.5940
Dy 0.9831 0.0892 0.2849
Dy 0.8928 0.5940 0.4060
Dy 0.4831 0.2849 0.0892
S 0.1859 0.0297 0.9703
S 0.7210 0.5512 0.0985
S 0.6858 0.6308 0.6943
S 0.6859 0.9703 0.0297
S 0.1267 0.7787 0.2213
S 0.6858 0.3057 0.3692
S 0.7210 0.9015 0.4488
S 0.2210 0.0985 0.5512
S 0.1858 0.6943 0.6308
S 0.2210 0.4488 0.9015
S 0.6267 0.2213 0.7787
S 0.1858 0.3692 0.3057
Tl 0.0002 0.2019 0.7981
Tl 0.5002 0.7981 0.2019

Values from the calculation:
Raw formation energy   -1.57 eV per atom



No. 7
A relaxed AlCd3Ru crystal, computed with PBE.

Cell lengths 4.9935, 4.9935, 4.9935 Å; angles 90.00, 90.00, 90.00 degrees
Fractional coordinates of all 5 atoms:
Cd 0.0000 0.0000 0.5000
Cd 0.5000 0.0000 0.0000
Cd 0.0000 0.5000 0.0000
Al 0.0000 0.0000 0.0000
Ru 0.5000 0.5000 0.5000

Values from the calculation:
Formation energy   1.124 eV/atom



No. 8
A relaxed Tm6SiBi2 crystal, computed with PBE.

Cell lengths 6.2805, 8.0256, 10.1241 Å; angles 90.00, 90.94, 90.00 degrees
Fractional coordinates of all 18 atoms:
Tm 0.8703 0.9694 0.2377
Tm 0.8670 0.6916 0.9575
Tm 0.3703 0.5306 0.7377
Tm 0.3670 0.8084 0.4575
Tm 0.6330 0.1916 0.5425
Tm 0.6315 0.1732 0.9579
Tm 0.3685 0.8268 0.0421
Tm 0.8685 0.6732 0.5421
Tm 0.6297 0.4694 0.2623
Tm 0.1297 0.0306 0.7623
Tm 0.1330 0.3084 0.0425
Tm 0.1315 0.3268 0.4579
Si 0.5000 0.5000 0.0000
Si 0.0000 0.0000 0.5000
Bi 0.4007 0.1130 0.2548
Bi 0.0993 0.6130 0.2452
Bi 0.5993 0.8870 0.7452
Bi 0.9007 0.3870 0.7548

Values from the calculation:
Raw formation energy   -0.47 eV per atom



No. 9
A relaxed MgZr3V crystal, computed with PBE.

Cell lengths 5.0411, 5.0411, 5.0411 Å; angles 90.00, 90.00, 90.00 degrees
Fractional coordinates of all 5 atoms:
Zr 0.0000 0.0000 0.5000
Zr 0.0000 0.5000 0.0000
Zr 0.5000 0.0000 0.0000
Mg 0.0000 0.0000 0.0000
V 0.5000 0.5000 0.5000

Values from the calculation:
Formation energy   1.401 eV/atom



No. 10
A relaxed BaNbNi3 crystal, computed with PBE.

Cell lengths 4.7606, 4.7606, 4.7606 Å; angles 90.00, 90.00, 90.00 degrees
Fractional coordinates of all 5 atoms:
Ni 0.0000 0.5000 0.0000
Ni 0.5000 0.0000 0.0000
Ni 0.0000 0.0000 0.5000
Ba 0.0000 0.0000 0.0000
Nb 0.5000 0.5000 0.5000

Values from the calculation:
Formation energy   2.086 eV/atom



No. 11
A relaxed Sr3Cd2Au crystal, computed with PBE.

Cell lengths 3.9405, 3.9405, 12.2069 Å; angles 90.00, 90.00, 90.00 degrees
Fractional coordinates of all 6 atoms:
Cd 0.5000 0.5000 0.1705
Cd 0.5000 0.5000 0.8295
Sr 0.0000 0.0000 0.6529
Sr 0.0000 0.0000 0.0000
Sr 0.0000 0.0000 0.3471
Au 0.5000 0.5000 0.5000

Values from the calculation:
Formation energy   -0.464 eV/atom



No. 12
A relaxed CrSbMo2 crystal, computed with PBE.

Cell lengths 3.8167, 3.8167, 10.2307 Å; angles 79.25, 79.25, 90.00 degrees
Fractional coordinates of all 8 atoms:
Cr 0.2500 0.7500 0.5000
Cr 0.5000 0.5000 0.0000
Mo 0.6193 0.1250 0.2500
Mo 0.8750 0.8693 0.7500
Mo 0.1307 0.6250 0.2500
Mo 0.3750 0.3807 0.7500
Sb 0.0000 0.0000 0.0000
Sb 0.7500 0.2500 0.5000

Values from the calculation:
Raw formation energy   0.68 eV per atom



Number 6 is which compound? Dy3TlS6